SiNi2TeS (PBE, optimized geometry); DFT total energy = -21.433 eV for the cell shown; calculated volume = 18.0 Å³ per atom; ΔE_f (raw) = 564 meV per atom; symmetry = No. 123; spin magnetization = 0.00 μB per formula unit
1.0
-3.254 -0.870 -2.847
3.087 -0.393 -3.408
0.400 -4.307 0.859
Ni S Te Si
2 1 1 1
Direct
0.000 0.000 0.500
0.500 0.000 0.000
0.000 0.500 0.000
0.500 0.500 0.500
0.000 0.000 0.000

BaSr2Pb (PBE, optimized geometry); DFT total energy = -9.839 eV for the cell shown; E_form = -211 meV per atom; calculated volume = 42.5 Å³ per atom; symmetry = No. 139; spin magnetization = 0.00 μB per formula unit
1.0
6.810 0.000 0.000
2.331 6.399 0.000
-4.570 -3.199 3.905
Ba Pb Sr
1 1 2
Direct
0.250 0.750 0.500
0.750 0.250 0.500
0.000 0.000 0.000
0.500 0.500 0.000

BiAu2I (PBE, optimized geometry); polymorph energy (0 for the lowest one) = 0 meV/atom; DFT total energy = -22.881 eV for the cell shown; calculated volume = 34.4 Å³ per atom; ΔE_f (raw) = 136 meV per atom; symmetry = No. 122; spin magnetization = 0.00 μB per formula unit
1.0
6.991 0.000 0.000
0.000 6.991 0.000
3.496 3.496 5.623
I Au Bi
2 4 2
Direct
0.500 0.500 0.000
0.250 0.750 0.500
0.644 0.125 0.250
0.106 0.625 0.250
0.375 0.356 0.750
0.875 0.894 0.750
0.000 0.000 0.000
0.750 0.250 0.500

MnReNi2 (PBE, optimized geometry); polymorph energy (0 for the lowest one) = 492 meV/atom; DFT total energy = -62.386 eV for the cell shown; E_form = 497 meV per atom; calculated volume = 12.8 Å³ per atom; symmetry = No. 122; spin magnetization = 0.00 μB per formula unit
1.0
-1.382 -1.069 2.960
-1.370 -2.705 -1.617
5.748 -6.490 2.335
Re Mn Ni
2 2 4
Direct
0.000 0.000 0.000
0.750 0.250 0.500
0.500 0.500 0.000
0.250 0.750 0.500
0.616 0.125 0.250
0.134 0.625 0.250
0.375 0.384 0.750
0.875 0.866 0.750

Y3Zr (PBE, optimized geometry); polymorph energy (0 for the lowest one) = 24 meV/atom; DFT total energy = -27.562 eV for the cell shown; E_form = 95 meV per atom; calculated volume = 29.5 Å³ per atom; symmetry = No. 166; spin magnetization = 0.00 μB per formula unit
1.0
3.460 0.000 0.000
-1.730 11.420 0.001
1.730 -0.262 2.985
Y Zr
3 1
Direct
0.255 0.766 0.255
0.500 0.500 0.500
0.745 0.234 0.745
0.000 0.000 0.000

BaY2Cd (PBE, optimized geometry); DFT total energy = -15.579 eV for the cell shown; E_form = 47 meV per atom; calculated volume = 33.8 Å³ per atom; symmetry = No. 44; spin magnetization = 0.00 μB per formula unit
1.0
-1.993 -4.529 -4.885
-4.054 -5.409 -1.632
-4.811 1.421 -2.665
Ba Cd Y
1 1 2
Direct
0.528 0.528 0.472
0.266 0.266 0.233
0.965 0.965 0.035
0.740 0.740 0.759

FeRuBr2 (PBE, optimized geometry); polymorph energy (0 for the lowest one) = 668 meV/atom; DFT total energy = -17.831 eV for the cell shown; calculated volume = 19.4 Å³ per atom; ΔE_f (raw) = 813 meV per atom; symmetry = No. 10; spin magnetization = 4.11 μB per formula unit
1.0
-0.132 3.716 -1.837
-2.882 -0.935 -1.684
-2.718 1.993 4.227
Br Fe Ru
2 1 1
Direct
0.000 0.993 0.997
0.000 0.507 0.503
0.500 0.250 0.250
0.500 0.750 0.750

AcCu6Ge4 (PBE, optimized geometry); DFT total energy = -48.829 eV for the cell shown; E_form = -152 meV per atom; calculated volume = 16.3 Å³ per atom; symmetry = No. 187; spin magnetization = 0.00 μB per formula unit
1.0
-3.931 0.398 -1.230
1.142 -4.687 -5.163
-2.207 -2.198 6.343
Ac Cu Ge
1 6 4
Direct
0.000 0.000 0.000
0.000 0.540 0.080
0.500 0.579 0.789
0.000 0.540 0.460
0.000 0.920 0.460
0.500 0.211 0.789
0.500 0.211 0.421
0.500 0.801 0.603
0.500 0.397 0.199
0.500 0.801 0.199
0.000 0.333 0.667